## Pm5NdSn5 (PBE-GGA)

Data for Pm5NdSn5 after structural relaxation.

Cell: 7.8696 7.8696 8.7167 Å, 105.95 105.95 47.40°
Fractional coordinates of all 11 atoms:
Pm 0.0000 0.0000 0.0000
Pm 0.3308 0.3308 0.6639
Pm 0.3335 0.3335 0.1659
Pm 0.6665 0.6665 0.8341
Pm 0.6692 0.6692 0.3361
Nd 0.0000 0.0000 0.5000
Sn 0.1644 0.1644 0.3271
Sn 0.1656 0.1656 0.8365
Sn 0.5000 0.5000 0.5000
Sn 0.8344 0.8344 0.1635
Sn 0.8356 0.8356 0.6729

Space group = C2/m, No. 12
Formation energy = -483 meV per atom
M_tot = 0.051 μB/atom
DFT total energy = -4.895 eV/atom
DOS(E_F) = 10.6 states/eV/cell